No. 1
PtAuSeN2: PBEsol geometry, meta-GGA SCAN.

Cell: 3.6906 3.6906 7.0715 Å, 90.00 90.00 90.00°
With the nearest neighbours (Å) after each atom.
Space group P4/mmm (No. 123)
Inequivalent atoms, fractional coordinates:
1 Pt 0.0000 0.0000 0.0000 [1 per cell]  4 Se 2.61
2 Au 0.5000 0.5000 0.5000 [1 per cell]  4 N 1.85
3 Se 0.5000 0.5000 0.0000 [1 per cell]  4 Pt 2.61
4 N 0.0000 0.5000 0.5000 [2 per cell]  2 Au 1.85

Summary:
Its formation energy (no corrections) is 1712 meV/atom. As for the spin magnetization: 3.50 μB/f.u. The final energy comes out at -33.891 eV/atom.

No. 2
Mg2CrFe: PBEsol geometry, meta-GGA SCAN.

Cell: 2.7162 3.9111 5.7171 Å, 90.00 103.52 90.00°
With the nearest neighbours (Å) after each atom.
Space group Pm (No. 6)
Inequivalent atoms, fractional coordinates:
1 Mg 0.0000 0.0000 0.0000 [1 per cell]  1 Fe 2.59, 4 Cr 2.70-2.89, 4 Mg 2.72-2.87
2 Mg 0.3041 0.5000 0.6935 [1 per cell]  2 Cr 2.62-2.91, 4 Fe 2.68-2.93, 4 Mg 2.72-2.87
3 Cr 0.7013 0.5000 0.2628 [1 per cell]  2 Fe 2.24
4 Fe 0.5789 0.0000 0.4307 [1 per cell]  2 Cr 2.24

Summary:
For the formation energy, the calculation gives 1.386 eV/f.u. As for the spin magnetization: 0.97 μB/f.u. The final energy comes out at -11.269 eV/atom.

No. 3
KHgPb2: PBEsol geometry, meta-GGA SCAN.

Cell: 12.9403 3.6245 5.7543 Å, 90.00 116.25 90.00°
With the nearest neighbours (Å) after each atom.
Space group C2/m (No. 12)
Inequivalent atoms, fractional coordinates:
1 K 0.0000 0.0000 0.0000 [2 per cell]  4 Hg 3.40, 2 K 3.62, 4 Pb 3.75
2 Hg 0.0000 0.5000 0.5000 [2 per cell]  4 Pb 3.10, 4 K 3.40
3 Pb 0.2170 0.0000 0.7165 [4 per cell]  2 Hg 3.10

Summary:
For the formation energy, the calculation gives -0.681 eV/f.u. As for the spin magnetization: 0.00 μB/f.u. The final energy comes out at -57.184 eV/atom.

No. 4
LiOsN2F: PBEsol geometry, meta-GGA SCAN.

Cell: 3.7593 3.7593 3.0186 Å, 90.00 90.00 90.00°
With the nearest neighbours (Å) after each atom.
Space group P4/mmm (No. 123)
Inequivalent atoms, fractional coordinates:
1 Li 0.0000 0.0000 0.0000 [1 per cell]  2 F 1.51
2 Os 0.5000 0.5000 0.5000 [1 per cell]  8 N 2.41, 4 F 2.66
3 N 0.0000 0.5000 0.0000 [2 per cell]  2 Li 1.88
4 F 0.0000 0.0000 0.5000 [1 per cell]  2 Li 1.51

Summary:
Its formation energy (no corrections) is 1148 meV/atom. The calculation puts the offset from the most stable computed form at 6.85 eV per formula unit. As for the spin magnetization: 2.64 μB/f.u. The final energy comes out at -18.131 eV/atom.

Question: Which value of spin magnetization does entry 1 give?
Answer: 3.50 μB/f.u.